Compound: AcScP2
Source: Alexandria
Functional: PBE-GGA
Structure: optimized geometry

Geometry as POSCAR:
```
AcScP2
1.0
-0.357 2.975 -2.701
0.721 -0.722 -3.903
-6.576 -0.897 -3.133
Ac Sc P
1 1 2
Direct
0.497 0.497 0.509
0.669 0.669 0.994
0.263 0.263 0.210
0.071 0.071 0.787
```

Output
The volume comes out at 98.1 Å³ per cell. As for the space group: No. 160. Its calculated total energy is -6.5853 eV per atom. The value obtained for the formation energy is -1.270 eV/atom. For the distance to the lowest polymorph of the same formula, the calculation gives 2.31 kcal/mol of atoms.